Entry 1:
Compound: GdHfCoTc
Source: Alexandria
Functional: PBE
Structure: optimized geometry

Lattice parameters (Å, degrees): 4.6656 4.6656 4.6656 60.00 60.00 60.00
Closest atoms and distances in Å follow each position.
Positions (direct):
Co  0.0000  0.0000  0.0000  4 Hf 2.86, 4 Gd 2.86
Gd  0.7500  0.7500  0.7500  4 Co 2.86, 4 Tc 2.86
Tc  0.5000  0.5000  0.5000  4 Hf 2.86, 4 Gd 2.86
Hf  0.2500  0.2500  0.2500  4 Tc 2.86, 4 Co 2.86

Computed properties:
Crystal system   cubic

---

Entry 2:
Compound: GdHfZnCo
Source: Alexandria
Functional: PBE
Structure: optimized geometry

Lattice parameters (Å, degrees): 4.7445 4.7445 4.7445 60.00 60.00 60.00
Closest atoms and distances in Å follow each position.
Positions (direct):
Gd  0.7500  0.7500  0.7500  4 Zn 2.91, 4 Co 2.91
Zn  0.5000  0.5000  0.5000  4 Hf 2.91, 4 Gd 2.91
Co  0.0000  0.0000  0.0000  4 Gd 2.91, 4 Hf 2.91
Hf  0.2500  0.2500  0.2500  4 Co 2.91, 4 Zn 2.91

Computed properties:
Crystal system   cubic

---

Entry 3:
Compound: Gd2CoHg
Source: Alexandria
Functional: PBE
Structure: optimized geometry

Lattice parameters (Å, degrees): 3.4699 3.4699 7.6225 90.00 90.00 90.00
Closest atoms and distances in Å follow each position.
Positions (direct):
Gd  0.0000  0.0000  0.7833  4 Co 2.96, 4 Hg 3.27, 1 Gd 3.30
Hg  0.5000  0.5000  0.5000  8 Gd 3.27, 4 Hg 3.47
Co  0.5000  0.5000  0.0000  8 Gd 2.96
Gd  0.0000  0.0000  0.2167  4 Co 2.96, 4 Hg 3.27, 1 Gd 3.30

Computed properties:
ΔE to the lowest computed polymorph   0 meV/atom
Crystal system   tetragonal

---

Entry 4:
Compound: Gd2CoHg
Source: Alexandria
Functional: PBE
Structure: optimized geometry

Lattice parameters (Å, degrees): 5.0884 5.0884 5.0884 60.00 60.00 60.00
Closest atoms and distances in Å follow each position.
Positions (direct):
Gd  0.7500  0.7500  0.7500  4 Hg 3.12, 4 Co 3.12
Hg  0.0000  0.0000  0.0000  8 Gd 3.12
Co  0.5000  0.5000  0.5000  8 Gd 3.12
Gd  0.2500  0.2500  0.2500  4 Hg 3.12, 4 Co 3.12

Computed properties:
ΔE to the lowest computed polymorph   95 meV/atom
Crystal system   cubic

---

Entry 5:
Compound: Gd2CoHg
Source: Alexandria
Functional: PBE
Structure: optimized geometry

Lattice parameters (Å, degrees): 3.8411 3.8411 9.7116 78.59 78.59 60.00
Closest atoms and distances in Å follow each position.
Positions (direct):
Gd  0.1151  0.1151  0.6548  3 Co 2.66
Co  0.5000  0.5000  0.5000  6 Gd 2.66
Gd  0.8849  0.8849  0.3452  3 Co 2.66
Hg  0.0000  0.0000  0.0000  2 Gd 3.26

Computed properties:
ΔE to the lowest computed polymorph   259 meV/atom
Crystal system   trigonal

---

Entry 6:
Compound: Gd3CoHg
Source: Alexandria
Functional: PBE
Structure: optimized geometry

Lattice parameters (Å, degrees): 5.1869 5.1869 5.1869 90.00 90.00 90.00
Closest atoms and distances in Å follow each position.
Positions (direct):
Gd  0.5000  0.0000  0.0000  2 Co 2.59
Gd  0.0000  0.0000  0.5000  2 Co 2.59
Hg  0.5000  0.5000  0.5000  12 Gd 3.67
Gd  0.0000  0.5000  0.0000  2 Co 2.59
Co  0.0000  0.0000  0.0000  6 Gd 2.59

Computed properties:
Crystal system   cubic

---

Entry 7:
Compound: GdHoCoHg
Source: Alexandria
Functional: PBE
Structure: optimized geometry

Lattice parameters (Å, degrees): 5.0455 5.0455 5.0455 60.00 60.00 60.00
Closest atoms and distances in Å follow each position.
Positions (direct):
Ho  0.5000  0.5000  0.5000  4 Hg 3.09, 4 Co 3.09
Co  0.7500  0.7500  0.7500  4 Gd 3.09, 4 Ho 3.09
Hg  0.2500  0.2500  0.2500  4 Ho 3.09, 4 Gd 3.09
Gd  0.0000  0.0000  0.0000  4 Hg 3.09, 4 Co 3.09

Computed properties:
Crystal system   cubic

---

Entry 8:
Compound: NdGdCoHg
Source: Alexandria
Functional: PBE
Structure: optimized geometry

Lattice parameters (Å, degrees): 5.1492 5.1492 5.1492 60.00 60.00 60.00
Closest atoms and distances in Å follow each position.
Positions (direct):
Co  0.2500  0.2500  0.2500  4 Gd 3.15, 4 Nd 3.15
Gd  0.0000  0.0000  0.0000  4 Hg 3.15, 4 Co 3.15
Nd  0.5000  0.5000  0.5000  4 Co 3.15, 4 Hg 3.15
Hg  0.7500  0.7500  0.7500  4 Gd 3.15, 4 Nd 3.15

Computed properties:
Crystal system   cubic

---

Entry 9:
Compound: GdScCoHg
Source: Alexandria
Functional: PBE
Structure: optimized geometry

Lattice parameters (Å, degrees): 4.9229 4.9229 4.9229 60.00 60.00 60.00
Closest atoms and distances in Å follow each position.
Positions (direct):
Sc  0.0000  0.0000  0.0000  4 Hg 3.01, 4 Co 3.01
Co  0.2500  0.2500  0.2500  4 Gd 3.01, 4 Sc 3.01
Hg  0.7500  0.7500  0.7500  4 Gd 3.01, 4 Sc 3.01
Gd  0.5000  0.5000  0.5000  4 Co 3.01, 4 Hg 3.01

Computed properties:
Crystal system   cubic

---

Entry 10:
Compound: SmGdCoHg
Source: Alexandria
Functional: PBE
Structure: optimized geometry

Lattice parameters (Å, degrees): 5.1152 5.1152 5.1152 60.00 60.00 60.00
Closest atoms and distances in Å follow each position.
Positions (direct):
Co  0.2500  0.2500  0.2500  4 Gd 3.13, 4 Sm 3.13
Gd  0.0000  0.0000  0.0000  4 Hg 3.13, 4 Co 3.13
Hg  0.7500  0.7500  0.7500  4 Sm 3.13, 4 Gd 3.13
Sm  0.5000  0.5000  0.5000  4 Hg 3.13, 4 Co 3.13

Computed properties:
Crystal system   cubic

---

Entry 11:
Compound: GdTmCoHg
Source: Alexandria
Functional: PBE
Structure: optimized geometry

Lattice parameters (Å, degrees): 5.0220 5.0220 5.0220 60.00 60.00 60.00
Closest atoms and distances in Å follow each position.
Positions (direct):
Co  0.2500  0.2500  0.2500  4 Gd 3.08, 4 Tm 3.08
Hg  0.7500  0.7500  0.7500  4 Tm 3.08, 4 Gd 3.08
Gd  0.5000  0.5000  0.5000  4 Hg 3.08, 4 Co 3.08
Tm  0.0000  0.0000  0.0000  4 Hg 3.08, 4 Co 3.08

Computed properties:
Crystal system   cubic

---

Entry 12:
Compound: GdHo2Co
Source: Alexandria
Functional: PBE
Structure: optimized geometry

Lattice parameters (Å, degrees): 3.6967 3.6967 9.4606 78.73 78.73 60.00
Closest atoms and distances in Å follow each position.
Positions (direct):
Ho  0.2769  0.2769  0.1692  3 Co 2.64
Ho  0.7231  0.7231  0.8308  3 Co 2.64
Co  0.0000  0.0000  0.0000  6 Ho 2.64
Gd  0.5000  0.5000  0.5000  6 Gd 3.70, 6 Ho 3.72

Computed properties:
ΔE to the lowest computed polymorph   67 meV/atom
Crystal system   trigonal

---

Entry 13:
Compound: GdHoCo4
Source: Alexandria
Functional: PBE
Structure: optimized geometry

Lattice parameters (Å, degrees): 5.0761 5.0761 5.0761 60.00 60.00 60.00
Closest atoms and distances in Å follow each position.
Positions (direct):
Co  0.6248  0.1256  0.6248  6 Co 2.53-2.54
Ho  0.2500  0.2500  0.2500  12 Co 2.98, 4 Gd 3.11
Co  0.1256  0.6248  0.6248  6 Co 2.53-2.54
Gd  0.0000  0.0000  0.0000  12 Co 2.98, 4 Ho 3.11
Co  0.6248  0.6248  0.1256  6 Co 2.53-2.54
Co  0.6248  0.6248  0.6248  6 Co 2.53-2.54

Computed properties:
Crystal system   cubic

---

Entry 14:
Compound: GdHo2Co
Source: Alexandria
Functional: PBE
Structure: optimized geometry

Lattice parameters (Å, degrees): 3.3883 3.3883 8.8493 90.00 90.00 90.00
Closest atoms and distances in Å follow each position.
Positions (direct):
Ho  0.0000  0.0000  0.1804  4 Co 2.88, 1 Ho 3.19
Gd  0.5000  0.5000  0.5000  4 Gd 3.39, 8 Ho 3.71
Ho  0.0000  0.0000  0.8196  4 Co 2.88, 1 Ho 3.19
Co  0.5000  0.5000  0.0000  8 Ho 2.88

Computed properties:
ΔE to the lowest computed polymorph   0 meV/atom
Crystal system   tetragonal

---

Entry 15:
Compound: GdHoInCo
Source: Alexandria
Functional: PBE
Structure: optimized geometry

Lattice parameters (Å, degrees): 5.1004 5.1004 5.1004 60.00 60.00 60.00
Closest atoms and distances in Å follow each position.
Positions (direct):
In  0.0000  0.0000  0.0000  4 Gd 3.12, 4 Ho 3.12
Ho  0.2500  0.2500  0.2500  4 In 3.12, 4 Co 3.12
Gd  0.7500  0.7500  0.7500  4 Co 3.12, 4 In 3.12
Co  0.5000  0.5000  0.5000  4 Ho 3.12, 4 Gd 3.12

Computed properties:
Crystal system   cubic

---

Number 1: DFT total energy -10.5262 eV/atom, formation energy -150 meV per atom. Number 2: DFT total energy -8.2269 eV/atom, formation energy -123 meV per atom. Number 3: DFT total energy -9.1980 eV/atom, formation energy -306 meV per atom. Number 4: DFT total energy -9.1033 eV/atom, formation energy -211 meV per atom. Number 5: DFT total energy -8.9391 eV/atom, formation energy -47 meV per atom. Number 6: DFT total energy -10.0911 eV/atom, formation energy -161 meV per atom. Number 7: DFT total energy -6.7376 eV/atom, formation energy -221 meV per atom. Number 8: DFT total energy -6.7325 eV/atom, formation energy -168 meV per atom. Number 9: DFT total energy -7.1582 eV/atom, formation energy -203 meV per atom. Number 10: DFT total energy -6.7396 eV/atom, formation energy -188 meV per atom. Number 11: DFT total energy -6.7176 eV/atom, formation energy -228 meV per atom. Number 12: DFT total energy -7.5856 eV/atom, formation energy 0 meV per atom. Number 13: DFT total energy -8.0486 eV/atom, formation energy -202 meV per atom. Number 14: DFT total energy -7.6523 eV/atom, formation energy -67 meV per atom. Number 15: DFT total energy -7.3185 eV/atom, formation energy -193 meV per atom.